Computed, not measured: a relaxed Tl2Pd4Au crystal at the PBE-GGA level of DFT.

Summary:
Density of states at the Fermi level   9.42 states/eV/cell
ΔH_f (0 K)   0.004 eV/atom
Distance to the lowest polymorph of the same formula   104 meV/atom
Mass density   12.2 g/cm³

Cell lengths 3.873, 3.873, 18.655 Å; angles 90.00, 90.00, 90.00 degrees
Space group I4/mmm (No. 139)
Unique sites:
1 Tl 0.000 0.000 0.109
2 Pd 0.000 0.000 0.356
3 Pd 0.000 0.500 0.250
4 Au 0.000 0.000 0.500